A relaxed SnHg2Bi5 crystal, computed with GGA-PBE.

a = 6.641 Å, b = 6.641 Å, c = 7.369 Å
α = 118.68°, β = 118.68°, γ = 83.39°
Fractional positions:
Sn (0.000, 0.000, 0.000)
Hg (0.038, 0.038, 0.445)
Hg (0.586, 0.586, 0.978)
Bi (0.070, 0.456, 0.965)
Bi (0.152, 0.565, 0.486)
Bi (0.456, 0.070, 0.965)
Bi (0.565, 0.152, 0.486)
Bi (0.646, 0.646, 0.458)

Values from the calculation:
Space-group type = Cm (8)
ΔH_f (0 K) = 0.0835 eV/atom
Calculated density = 10.51 g/cm3
M_tot = 0.0 μB/cell


A relaxed SnHgBi2 crystal, computed with GGA-PBE.

a = 5.183 Å, b = 5.183 Å, c = 4.349 Å
α = 90.00°, β = 90.00°, γ = 90.00°
Fractional positions:
Sn (0.000, 0.000, 0.000)
Hg (0.500, 0.500, 0.000)
Bi (0.000, 0.500, 0.500)
Bi (0.500, 0.000, 0.500)

Values from the calculation:
Space-group type = P4/mmm (123)
ΔH_f (0 K) = 0.1060 eV/atom
Calculated density = 10.48 g/cm3
M_tot = 0.0 μB/cell


A relaxed SnHgBi2 crystal, computed with GGA-PBE.

a = 8.332 Å, b = 8.332 Å, c = 8.332 Å
α = 131.24°, β = 131.24°, γ = 71.43°
Fractional positions:
Sn (0.000, 0.000, 0.000)
Sn (0.750, 0.250, 0.500)
Hg (0.250, 0.750, 0.500)
Hg (0.500, 0.500, 0.000)
Bi (0.129, 0.625, 0.004)
Bi (0.375, 0.379, 0.504)
Bi (0.621, 0.125, 0.996)
Bi (0.875, 0.871, 0.496)

Values from the calculation:
Space-group type = I-42d (122)
ΔH_f (0 K) = 0.1102 eV/atom
Calculated density = 7.65 g/cm3
M_tot = 0.0 μB/cell


A relaxed Sn2HgBi crystal, computed with GGA-PBE.

a = 5.088 Å, b = 5.088 Å, c = 4.377 Å
α = 90.00°, β = 90.00°, γ = 90.00°
Fractional positions:
Sn (0.000, 0.500, 0.000)
Sn (0.500, 0.000, 0.000)
Hg (0.000, 0.000, 0.500)
Bi (0.500, 0.500, 0.500)

Values from the calculation:
Space-group type = P4/mmm (123)
ΔH_f (0 K) = 0.0877 eV/atom
Calculated density = 9.48 g/cm3
M_tot = 0.0 μB/cell


A relaxed SnHg4Bi crystal, computed with GGA-PBE.

a = 6.102 Å, b = 6.102 Å, c = 6.102 Å
α = 60.00°, β = 60.00°, γ = 60.00°
Fractional positions:
Sn (0.000, 0.000, 0.000)
Hg (0.125, 0.625, 0.625)
Hg (0.625, 0.125, 0.625)
Hg (0.625, 0.625, 0.125)
Hg (0.625, 0.625, 0.625)
Bi (0.250, 0.250, 0.250)

Values from the calculation:
Space-group type = F-43m (216)
ΔH_f (0 K) = 0.1879 eV/atom
Calculated density = 11.68 g/cm3
M_tot = 0.0 μB/cell


A relaxed SnHgBi2 crystal, computed with GGA-PBE.

a = 7.811 Å, b = 7.811 Å, c = 7.811 Å
α = 32.81°, β = 32.81°, γ = 32.81°
Fractional positions:
Sn (0.000, 0.000, 0.000)
Hg (0.500, 0.500, 0.500)
Bi (0.250, 0.250, 0.250)
Bi (0.750, 0.750, 0.750)

Values from the calculation:
Space-group type = R-3m (166)
ΔH_f (0 K) = 0.0928 eV/atom
Calculated density = 9.84 g/cm3
M_tot = 0.0 μB/cell


A relaxed SnHgBi2 crystal, computed with GGA-PBE.

a = 4.068 Å, b = 4.068 Å, c = 7.305 Å
α = 90.00°, β = 90.00°, γ = 90.00°
Fractional positions:
Sn (0.000, 0.000, 0.000)
Hg (0.000, 0.000, 0.500)
Bi (0.500, 0.500, 0.224)
Bi (0.500, 0.500, 0.776)

Values from the calculation:
Space-group type = P4/mmm (123)
ΔH_f (0 K) = 0.0926 eV/atom
Calculated density = 10.13 g/cm3
M_tot = 0.0 μB/cell


A relaxed SnHgBi2 crystal, computed with GGA-PBE.

a = 6.261 Å, b = 3.392 Å, c = 11.446 Å
α = 90.00°, β = 90.17°, γ = 90.00°
Fractional positions:
Sn (0.248, 0.250, 0.382)
Sn (0.752, 0.750, 0.618)
Hg (0.252, 0.250, 0.883)
Hg (0.748, 0.750, 0.117)
Bi (0.249, 0.750, 0.133)
Bi (0.252, 0.750, 0.630)
Bi (0.748, 0.250, 0.370)
Bi (0.751, 0.250, 0.867)

Values from the calculation:
Space-group type = P2_1/m (11)
ΔH_f (0 K) = 0.0702 eV/atom
Calculated density = 10.07 g/cm3
M_tot = 0.0 μB/cell